No. 1
12
Lattice="-0.625 2.807 0.513 -2.168 -2.764 4.168 8.709 0.990 5.188" Properties=species:S:1:pos:R:3 comment="NaInBO3 (GGA-PBE, relaxed)" dos_ef_per_ev_cell=1.80 formation_energy_uncorrected_ev_per_atom=-1.51 space_group="No. 63" magnetic_moment_mub_per_atom=0.0000 crystal_system=orthorhombic pbc="T T T"
Na 5.080 1.521 6.181
Na 0.837 -0.488 3.688
In 4.355 0.495 2.594
In 0.000 0.000 0.000
B 4.302 -0.481 7.869
B 1.615 1.514 2.000
O 2.288 1.438 3.235
O 3.629 -0.405 6.634
O 5.676 -0.172 7.853
O 0.241 1.205 2.015
O 6.318 0.625 4.273
O -0.401 0.408 5.596

No. 2
16
Lattice="-3.702 -3.549 3.361 3.764 -5.110 -1.250 2.832 5.129 2.942" Properties=species:S:1:pos:R:3 comment="Na4In3BO8 (GGA-PBE, relaxed)" formation_energy_uncorrected_ev_per_atom=-1.47 space_group="No. 12" magnetic_moment_mub_per_atom=0.0000 crystal_system=monoclinic pbc="T T T"
Na -1.851 -1.775 1.681
Na -0.435 0.790 3.151
Na 0.000 0.000 0.000
Na 1.416 2.565 1.471
In 0.031 -4.330 1.055
In 1.447 -1.765 2.526
In 3.298 0.010 0.846
B 1.882 -2.555 -0.625
O 4.595 0.949 2.591
O 3.401 -1.958 1.678
O 1.608 0.383 2.175
O 2.297 -1.255 4.678
O 0.597 -2.275 0.375
O 1.286 -3.912 2.878
O -0.507 -1.572 3.374
O -1.702 -4.479 2.462

No. 3
16
Lattice="-0.420 -4.643 -2.042 4.833 -2.071 -2.629 2.941 -6.656 8.188" Properties=species:S:1:pos:R:3 comment="Na2InBO4 (GGA-PBE, relaxed)" dos_ef_per_ev_cell=0.00 formation_energy_uncorrected_ev_per_atom=-1.46 space_group="No. 70" magnetic_moment_mub_per_atom=0.0000 crystal_system=orthorhombic pbc="T T T"
Na 1.658 -4.891 4.438
Na 0.863 -6.408 1.708
Na 4.855 -9.611 4.998
Na 2.289 -6.081 -2.501
In 3.572 -7.846 1.248
In 0.000 0.000 0.000
B 3.782 -5.524 2.269
B -0.210 -2.322 -1.021
O 4.032 -3.947 -2.318
O 3.469 -7.797 6.551
O 6.356 -11.583 3.781
O 0.851 -3.413 -0.979
O 4.373 -5.970 0.938
O 3.044 -6.705 2.885
O 4.570 -9.633 0.985
O 2.721 -4.433 2.227

No. 4
11
Lattice="-2.074 -0.751 -4.699 3.266 -3.512 1.987 -4.722 -2.947 2.555" Properties=species:S:1:pos:R:3 comment="Na2InB2O6 (GGA-PBE, relaxed)" dos_ef_per_ev_cell=3.55 formation_energy_uncorrected_ev_per_atom=-1.89 space_group="No. 147" magnetic_moment_mub_per_atom=0.0928 crystal_system=trigonal pbc="T T T"
Na -3.359 -3.584 -0.812
Na -0.171 -3.625 0.654
In 0.000 0.000 0.000
B -2.310 -4.960 1.812
B -1.220 -2.249 -1.970
O -2.690 -3.741 2.329
O -2.686 -5.306 0.533
O -1.374 -5.721 2.477
O -0.840 -3.468 -2.486
O -0.844 -1.903 -0.690
O -2.156 -1.488 -2.635

No. 5
11
Lattice="-4.686 2.288 -1.472 -3.966 0.568 3.441 2.934 5.385 -0.922" Properties=species:S:1:pos:R:3 comment="NaIn2B2O6 (GGA-PBE, relaxed)" dos_ef_per_ev_cell=1.42 formation_energy_uncorrected_ev_per_atom=-1.83 space_group="No. 2" magnetic_moment_mub_per_atom=0.0000 crystal_system=triclinic pbc="T T T"
Na -0.876 3.836 -1.197
In -3.168 6.303 -0.547
In -2.550 1.938 1.594
B -1.491 4.820 1.538
B -4.227 3.420 -0.490
O -2.720 5.405 1.353
O -5.335 3.079 0.315
O -6.011 6.133 1.054
O -0.383 5.161 0.732
O 0.293 2.108 -0.006
O -2.998 2.836 -0.306

No. 6
5
Lattice="-4.876 2.855 -1.420 -2.137 -4.718 -2.151 -2.289 -1.329 5.190" Properties=species:S:1:pos:R:3 comment="Na2InBPb (GGA-PBE, relaxed)" formation_energy_ev_per_atom=1.20 dos_ef_per_ev_cell=4.01 space_group="No. 123" magnetic_moment_mub_per_atom=0.1105 crystal_system=tetragonal pbc="T T T"
Pb -1.068 -2.359 -1.075
Na -1.145 -0.664 2.595
Na -2.438 1.428 -0.710
B -4.651 -1.596 0.810
In 0.000 0.000 0.000

No. 7
20
Lattice="2.867 0.000 0.000 0.000 10.357 0.000 0.000 0.000 10.357" Properties=species:S:1:pos:R:3 comment="Na2InB2Pt5 (GGA-PBE, relaxed)" formation_energy_ev_per_atom=-0.38 dos_ef_per_ev_cell=3.33 space_group="No. 127" magnetic_moment_mub_per_atom=0.0000 crystal_system=tetragonal pbc="T T T"
Na 0.000 7.075 1.896
Na 0.000 3.282 8.461
Na 0.000 1.896 3.282
Na 0.000 8.461 7.075
In 0.000 0.000 0.000
In 0.000 5.179 5.179
B 0.000 1.260 6.439
B 0.000 9.097 3.918
B 0.000 6.439 9.097
B 0.000 3.918 1.260
Pt 1.433 2.395 0.638
Pt 1.433 7.962 9.719
Pt 1.433 0.638 7.962
Pt 1.433 7.574 4.541
Pt 1.433 9.719 2.395
Pt 1.433 2.783 5.816
Pt 1.433 5.816 7.574
Pt 1.433 4.541 2.783
Pt 1.433 5.179 0.000
Pt 1.433 0.000 5.179

No. 8
5
Lattice="7.341 0.000 0.000 0.000 4.202 0.000 0.000 0.000 7.341" Properties=species:S:1:pos:R:3 comment="Rb2NaInB (GGA-PBE, relaxed)" formation_energy_ev_per_atom=0.53 dos_ef_per_ev_cell=2.64 space_group="No. 123" magnetic_moment_mub_per_atom=0.0000 crystal_system=tetragonal pbc="T T T"
Na 3.671 2.101 3.671
B 0.000 2.101 0.000
Rb 0.000 0.000 3.671
Rb 3.671 0.000 0.000
In 0.000 0.000 0.000

No. 9
16
Lattice="0.947 7.919 3.091 -8.293 -1.738 1.167 4.439 -5.036 3.958" Properties=species:S:1:pos:R:3 comment="Na2InBSe4 (GGA-PBE, relaxed)" formation_energy_uncorrected_ev_per_atom=-0.47 space_group="No. 15" magnetic_moment_mub_per_atom=0.0000 crystal_system=monoclinic pbc="T T T"
Na 0.473 3.959 1.546
Na 2.693 1.441 3.524
Na 2.219 -2.518 1.979
Na -3.673 3.090 2.129
In -4.147 -0.869 0.584
In -0.980 4.532 5.654
B -1.454 0.572 4.108
B 5.386 2.883 7.049
Se -1.209 -3.941 5.269
Se 1.179 3.255 5.063
Se -4.086 -2.110 3.153
Se -1.698 5.086 2.947
Se -6.108 4.944 3.763
Se -2.840 1.655 4.573
Se -0.067 -0.510 3.643
Se 3.200 -3.799 4.454

No. 10
5
Lattice="-1.584 1.805 4.584 -3.072 -2.965 0.106 3.227 -3.258 2.398" Properties=species:S:1:pos:R:3 comment="Na2InSiB (GGA-PBE, relaxed)" dos_ef_per_ev_cell=2.27 formation_energy_uncorrected_ev_per_atom=0.75 space_group="No. 123" magnetic_moment_mub_per_atom=0.0000 crystal_system=tetragonal pbc="T T T"
Na 1.613 -1.629 1.199
Na -0.792 0.903 2.292
Si -0.715 -2.209 3.544
B 0.000 0.000 0.000
In -1.536 -1.483 0.053

No. 11
5
Lattice="4.947 0.000 0.000 0.000 4.822 0.000 0.000 0.000 4.947" Properties=species:S:1:pos:R:3 comment="NaZr2InB (GGA-PBE, relaxed)" formation_energy_ev_per_atom=1.98 dos_ef_per_ev_cell=2.98 space_group="No. 123" magnetic_moment_mub_per_atom=0.0000 crystal_system=tetragonal pbc="T T T"
Na 0.000 0.000 0.000
B 2.474 2.411 2.474
Zr 0.000 0.000 2.474
Zr 2.474 0.000 0.000
In 0.000 2.411 0.000

No. 12
8
Lattice="4.874 0.658 -1.096 3.039 5.797 -1.227 1.951 1.722 4.806" Properties=species:S:1:pos:R:3 comment="Nb6InB (GGA-PBE, relaxed)" formation_energy_ev_per_atom=0.02 dos_ef_per_ev_cell=5.82 space_group="No. 2" magnetic_moment_mub_per_atom=0.0000 crystal_system=triclinic pbc="T T T"
Nb 2.811 2.912 3.021
Nb 8.251 7.142 1.281
Nb 3.302 2.192 -0.556
Nb 1.613 1.036 1.203
Nb 7.053 5.265 -0.538
Nb 6.561 5.985 3.039
In 4.932 4.089 1.242
B 0.000 0.000 0.000

No. 13
5
Lattice="-1.111 3.726 -0.420 -0.636 -0.619 -3.809 -5.406 0.311 -1.156" Properties=species:S:1:pos:R:3 comment="Nb2InB2 (GGA-PBE, relaxed)" de_polymorph_ev_per_fu=1.75 formation_energy_ev_per_atom=0.20 dos_ef_per_ev_cell=3.39 space_group="No. 139" magnetic_moment_mub_per_atom=0.0000 crystal_system=tetragonal pbc="T T T"
Nb -3.695 2.796 -1.845
Nb -3.458 0.623 -3.540
B -1.659 1.338 -1.948
B -5.493 2.081 -3.436
In 0.000 0.000 0.000

No. 14
5
Lattice="-1.306 -1.933 -3.673 3.954 0.589 -1.716 1.260 -3.853 1.580" Properties=species:S:1:pos:R:3 comment="NbInB3 (GGA-PBE, relaxed)" de_polymorph_ev_per_fu=0.00 formation_energy_ev_per_atom=1.40 dos_ef_per_ev_cell=4.32 space_group="No. 221" magnetic_moment_mub_per_atom=0.0000 crystal_system=cubic pbc="T T T"
Nb 0.000 0.000 0.000
B 1.977 0.294 -0.858
B 0.630 -1.927 0.790
B -0.653 -0.966 -1.836
In 1.954 -2.598 -1.905

No. 15
18
Lattice="-0.730 -5.456 -3.108 5.667 0.654 -2.480 2.637 -6.475 4.317" Properties=species:S:1:pos:R:3 comment="Nb5In2B2 (GGA-PBE, relaxed)" formation_energy_ev_per_atom=-0.28 dos_ef_per_ev_cell=11.82 space_group="No. 64" magnetic_moment_mub_per_atom=0.0000 crystal_system=orthorhombic pbc="T T T"
Nb 0.000 0.000 0.000
Nb 2.468 -2.401 -2.794
Nb 2.858 -7.335 1.667
Nb 6.134 -8.896 -1.004
Nb 5.793 -6.250 0.859
Nb 3.199 -9.981 -0.196
Nb 4.716 -3.942 -2.938
Nb 1.439 -2.381 -0.267
Nb 1.781 -5.027 -2.130
Nb 4.374 -1.296 -1.075
In 1.221 -4.708 1.548
In 3.690 -7.109 -1.246
In 0.686 -7.223 -0.339
In 3.884 -4.168 -0.025
B 2.179 -0.312 -1.313
B 2.757 -4.489 -4.275
B 4.801 -1.568 -3.455
B 0.136 -3.233 -2.133

No. 16
10
Lattice="-0.615 3.487 -5.122 2.766 -4.451 -3.362 -3.071 -1.444 -0.614" Properties=species:S:1:pos:R:3 comment="Nb2InB2 (GGA-PBE, relaxed)" de_polymorph_ev_per_fu=0.00 formation_energy_ev_per_atom=-0.15 dos_ef_per_ev_cell=6.35 space_group="No. 127" magnetic_moment_mub_per_atom=0.0000 crystal_system=tetragonal pbc="T T T"
Nb 0.210 -3.110 -3.418
Nb 0.353 -2.092 -6.527
Nb -1.130 0.701 -5.681
Nb -1.273 -0.317 -2.572
B 2.247 -2.613 -5.090
B 1.100 0.482 -6.631
B -0.096 1.649 -3.394
B 1.051 -1.446 -1.854
In 0.000 0.000 0.000
In 1.075 -0.482 -4.242

No. 17
5
Lattice="-2.988 -2.965 -0.702 2.803 -2.289 -2.262 1.195 -2.044 3.550" Properties=species:S:1:pos:R:3 comment="NbInB3 (GGA-PBE, relaxed)" de_polymorph_ev_per_fu=4.87 formation_energy_ev_per_atom=2.37 dos_ef_per_ev_cell=4.81 space_group="No. 221" magnetic_moment_mub_per_atom=0.0001 crystal_system=cubic pbc="T T T"
Nb 0.505 -3.649 0.293
B 1.402 -1.145 -1.131
B 0.597 -1.022 1.775
B -1.494 -1.483 -0.351
In 0.000 0.000 0.000

No. 18
5
Lattice="4.879 0.000 0.000 0.000 5.459 0.000 0.000 0.000 4.879" Properties=species:S:1:pos:R:3 comment="NbInBPt2 (GGA-PBE, relaxed)" formation_energy_ev_per_atom=1.67 dos_ef_per_ev_cell=3.64 space_group="No. 123" magnetic_moment_mub_per_atom=0.0000 crystal_system=tetragonal pbc="T T T"
Nb 0.000 0.000 0.000
B 2.439 2.729 2.439
Pt 0.000 0.000 2.439
Pt 2.439 0.000 0.000
In 0.000 2.729 0.000

No. 19
20
Lattice="-1.067 -2.807 -0.408 -0.404 -1.218 9.430 -8.898 3.374 0.054" Properties=species:S:1:pos:R:3 comment="Nb2InB2Ru5 (GGA-PBE, relaxed)" formation_energy_ev_per_atom=-0.36 dos_ef_per_ev_cell=11.37 space_group="No. 127" magnetic_moment_mub_per_atom=0.0000 crystal_system=tetragonal pbc="T T T"
Nb -1.847 -0.228 6.391
Nb -7.456 2.384 3.093
Nb -2.948 0.875 1.684
Nb -6.355 1.281 7.800
In 0.000 0.000 0.000
In -4.651 1.078 4.742
B -5.588 1.951 1.188
B -3.714 0.205 8.296
B -8.061 2.203 5.917
B -1.242 -0.047 3.567
Ru -1.256 -1.436 1.905
Ru -9.114 0.785 7.171
Ru -7.475 1.131 0.508
Ru -4.643 -0.837 6.639
Ru -2.895 -1.782 8.568
Ru -5.727 0.186 2.437
Ru -7.200 0.341 5.220
Ru -3.170 -0.992 3.856
Ru -0.736 -2.012 4.511
Ru -4.983 0.283 -0.177

No. 20
5
Lattice="4.428 0.000 0.000 0.000 4.428 0.000 0.000 0.000 4.320" Properties=species:S:1:pos:R:3 comment="TiNb2InB (GGA-PBE, relaxed)" formation_energy_ev_per_atom=-0.21 dos_ef_per_ev_cell=2.35 space_group="No. 123" magnetic_moment_mub_per_atom=0.0000 crystal_system=tetragonal pbc="T T T"
Nb 0.000 2.214 0.000
Nb 2.214 0.000 0.000
Ti 0.000 0.000 2.160
B 0.000 0.000 0.000
In 2.214 2.214 2.160